Below is a crystal of Y2Al relaxed with PBEsol, with properties calculated at the SCAN level.

Output
The calculation puts the formation energy at -0.297 eV/atom. The density of states at the Fermi level comes out at 0.755 states/eV per atom.

The structure in CIF format:
```
data_Y2Al
_chemical_formula_sum 'Y8 Al4'
_cell_length_a 3.647
_cell_length_b 16.323
_cell_length_c 5.115
_cell_angle_alpha 90.00
_cell_angle_beta 90.00
_cell_angle_gamma 90.00
_symmetry_space_group_name_H-M 'C m c m'
_symmetry_Int_Tables_number 63
_symmetry_space_group_name_Hall '-C 2c 2'
loop_
_atom_site_label
_atom_site_type_symbol
_atom_site_fract_x
_atom_site_fract_y
_atom_site_fract_z
_atom_site_occupancy
Y1 Y 0.000 0.080 0.250 1
Y2 Y 0.000 0.224 0.750 1
Al1 Al 0.000 0.427 0.250 1
```



Below is a crystal of ErTlSe2 relaxed with PBEsol, with properties calculated at the SCAN level.

Output
The formation energy (no corrections) is -1.53 eV per atom. The density of states at the Fermi level comes out at 0.000 states/eV per atom.

The structure in CIF format:
```
data_ErTlSe2
_chemical_formula_sum 'Er3 Tl3 Se6'
_cell_length_a 4.0622
_cell_length_b 4.0622
_cell_length_c 22.8505
_cell_angle_alpha 90.00
_cell_angle_beta 90.00
_cell_angle_gamma 120.00
_symmetry_space_group_name_H-M 'R -3 m'
_symmetry_Int_Tables_number 166
_symmetry_space_group_name_Hall '-R 3 2"'
loop_
_atom_site_label
_atom_site_type_symbol
_atom_site_fract_x
_atom_site_fract_y
_atom_site_fract_z
_atom_site_occupancy
Er1 Er 0.0000 0.0000 0.0000 1
Tl1 Tl 0.0000 0.0000 0.5000 1
Se1 Se 0.0000 0.0000 0.2645 1
```



Below is a crystal of Sr2LiIr relaxed with PBEsol, with properties calculated at the SCAN level.

Output
The calculation puts the formation energy at -0.120 eV/atom. The density of states at the Fermi level comes out at 0.272 states/eV per atom.

The structure in CIF format:
```
data_Sr2LiIr
_chemical_formula_sum 'Sr4 Li2 Ir2'
_cell_length_a 4.422
_cell_length_b 4.327
_cell_length_c 11.137
_cell_angle_alpha 90.00
_cell_angle_beta 90.00
_cell_angle_gamma 90.00
_symmetry_space_group_name_H-M 'A m m 2'
_symmetry_Int_Tables_number 38
loop_
_symmetry_equiv_pos_as_xyz
'x,y,z'
'-x,-y,z'
'-x,y,z'
'x,-y,z'
'x,y+1/2,z+1/2'
'-x,-y+1/2,z+1/2'
'-x,y+1/2,z+1/2'
'x,-y+1/2,z+1/2'
loop_
_atom_site_label
_atom_site_type_symbol
_atom_site_fract_x
_atom_site_fract_y
_atom_site_fract_z
_atom_site_occupancy
Sr1 Sr 0.000 0.000 0.000 1
Sr2 Sr 0.500 0.000 0.277 1
Li1 Li 0.000 0.000 0.686 1
Ir1 Ir 0.500 0.000 0.577 1
```